Record 1
# RbSn2HgSe

A relaxed RbSn2HgSe crystal (PBE, Alexandria via LeMat-Bulk). Values from VASP.

Calculated values
- Energy relative to the elements, uncorrected: 0.0565 eV per atom
- M_tot: 0.0 μB per cell

Structure (Quantum ESPRESSO input):
```
&SYSTEM
  ibrav = 0, nat = 5, ntyp = 4
/
ATOMIC_SPECIES
Rb 85.47 Rb.upf
Sn 118.71 Sn.upf
Hg 200.59 Hg.upf
Se 78.96 Se.upf
ATOMIC_POSITIONS crystal
Rb 0.000 0.000 0.000
Sn 0.000 0.500 0.500
Sn 0.500 0.000 0.500
Hg 0.500 0.500 0.000
Se 0.000 0.000 0.500
CELL_PARAMETERS angstrom
5.668 0.000 0.000
0.000 5.668 0.000
0.000 0.000 6.463
```


Record 2
# RbSnHg2Se4

A relaxed RbSnHg2Se4 crystal (PBE, Alexandria via LeMat-Bulk). Values from VASP.

Calculated values
- Energy relative to the elements, uncorrected: -0.4430 eV per atom
- M_tot: 0.0 μB per cell

Structure (Quantum ESPRESSO input):
```
&SYSTEM
  ibrav = 0, nat = 8, ntyp = 4
/
ATOMIC_SPECIES
Rb 85.47 Rb.upf
Sn 118.71 Sn.upf
Hg 200.59 Hg.upf
Se 78.96 Se.upf
ATOMIC_POSITIONS crystal
Rb 0.000 0.000 0.000
Sn 0.500 0.500 0.500
Hg 0.246 0.246 0.254
Hg 0.746 0.746 0.754
Se 0.139 0.533 0.467
Se 0.467 0.862 0.533
Se 0.533 0.139 0.861
Se 0.862 0.467 0.138
CELL_PARAMETERS angstrom
0.000 5.354 4.556
5.347 0.000 4.556
5.347 5.354 0.000
```


Record 3
# Rb2SrHg2Se4

A relaxed Rb2SrHg2Se4 crystal (PBE, Alexandria via LeMat-Bulk). Values from VASP.

Calculated values
- Energy relative to the elements, uncorrected: -0.9815 eV per atom
- M_tot: 0.0 μB per cell

Structure (Quantum ESPRESSO input):
```
&SYSTEM
  ibrav = 0, nat = 9, ntyp = 4
/
ATOMIC_SPECIES
Rb 85.47 Rb.upf
Sr 87.62 Sr.upf
Hg 200.59 Hg.upf
Se 78.96 Se.upf
ATOMIC_POSITIONS crystal
Rb 0.126 0.126 0.057
Rb 0.874 0.874 0.943
Sr 0.000 0.000 0.500
Hg 0.335 0.335 0.515
Hg 0.665 0.665 0.485
Se 0.207 0.207 0.689
Se 0.482 0.482 0.749
Se 0.518 0.518 0.251
Se 0.793 0.793 0.311
CELL_PARAMETERS angstrom
8.470 -2.235 0.000
8.470 2.235 0.000
-2.709 0.000 7.854
```


Record 4
# Rb2TbHg2Se4

A relaxed Rb2TbHg2Se4 crystal (PBE, Alexandria via LeMat-Bulk). Values from VASP.

Calculated values
- Energy relative to the elements, uncorrected: -0.9749 eV per atom
- M_tot: 0.0 μB per cell

Structure (Quantum ESPRESSO input):
```
&SYSTEM
  ibrav = 0, nat = 9, ntyp = 4
/
ATOMIC_SPECIES
Rb 85.47 Rb.upf
Tb 158.93 Tb.upf
Hg 200.59 Hg.upf
Se 78.96 Se.upf
ATOMIC_POSITIONS crystal
Rb 0.127 0.127 0.069
Rb 0.873 0.873 0.931
Tb 0.000 0.000 0.500
Hg 0.311 0.311 0.481
Hg 0.689 0.689 0.519
Se 0.184 0.184 0.724
Se 0.479 0.479 0.718
Se 0.521 0.521 0.282
Se 0.816 0.816 0.276
CELL_PARAMETERS angstrom
8.371 -2.123 0.000
8.371 2.123 0.000
-3.386 0.000 7.889
```


Record 5
# RbTb2HgSe4

A relaxed RbTb2HgSe4 crystal (PBE, Alexandria via LeMat-Bulk). Values from VASP.

Calculated values
- Energy relative to the elements, uncorrected: -1.2867 eV per atom
- M_tot: 0.0 μB per cell

Structure (Quantum ESPRESSO input):
```
&SYSTEM
  ibrav = 0, nat = 16, ntyp = 4
/
ATOMIC_SPECIES
Rb 85.47 Rb.upf
Tb 158.93 Tb.upf
Hg 200.59 Hg.upf
Se 78.96 Se.upf
ATOMIC_POSITIONS crystal
Rb 0.127 0.873 0.750
Rb 0.873 0.127 0.250
Tb 0.376 0.624 0.562
Tb 0.376 0.624 0.938
Tb 0.624 0.376 0.062
Tb 0.624 0.376 0.438
Hg 0.170 0.830 0.250
Hg 0.830 0.170 0.750
Se 0.000 0.000 0.000
Se 0.000 0.000 0.500
Se 0.259 0.741 0.093
Se 0.259 0.741 0.407
Se 0.449 0.551 0.750
Se 0.551 0.449 0.250
Se 0.741 0.259 0.593
Se 0.741 0.259 0.907
CELL_PARAMETERS angstrom
2.137 -7.222 0.000
2.137 7.222 0.000
0.000 0.000 15.454
```


Record 6
# Rb2Hg2Te2Se

A relaxed Rb2Hg2Te2Se crystal (PBE, Alexandria via LeMat-Bulk). Values from VASP.

Calculated values
- Energy relative to the elements, uncorrected: -0.5991 eV per atom
- M_tot: 0.0 μB per cell

Structure (Quantum ESPRESSO input):
```
&SYSTEM
  ibrav = 0, nat = 7, ntyp = 4
/
ATOMIC_SPECIES
Rb 85.47 Rb.upf
Hg 200.59 Hg.upf
Te 127.60 Te.upf
Se 78.96 Se.upf
ATOMIC_POSITIONS crystal
Rb 0.053 0.053 0.298
Rb 0.947 0.947 0.702
Hg 0.303 0.303 0.201
Hg 0.697 0.697 0.799
Te 0.322 0.322 0.876
Te 0.678 0.678 0.124
Se 0.500 0.500 0.500
CELL_PARAMETERS angstrom
7.818 -2.365 0.000
7.818 2.365 0.000
-5.203 0.000 7.385
```


Record 7
# RbHg2Te2Se6

A relaxed RbHg2Te2Se6 crystal (PBE, Alexandria via LeMat-Bulk). Values from VASP.

Calculated values
- Energy relative to the elements, uncorrected: -0.1891 eV per atom
- M_tot: 0.0 μB per cell

Structure (Quantum ESPRESSO input):
```
&SYSTEM
  ibrav = 0, nat = 11, ntyp = 4
/
ATOMIC_SPECIES
Rb 85.47 Rb.upf
Hg 200.59 Hg.upf
Te 127.60 Te.upf
Se 78.96 Se.upf
ATOMIC_POSITIONS crystal
Rb 0.000 0.000 0.000
Hg 0.261 0.518 0.775
Hg 0.739 0.482 0.225
Te 0.258 0.970 0.585
Te 0.742 0.030 0.415
Se 0.004 0.299 0.329
Se 0.435 0.267 0.864
Se 0.479 0.211 0.399
Se 0.521 0.789 0.601
Se 0.565 0.733 0.136
Se 0.996 0.701 0.671
CELL_PARAMETERS angstrom
6.970 0.000 0.000
-2.160 7.156 0.000
-3.376 -1.782 8.050
```


Record 8
# RbHgTe2Se4

A relaxed RbHgTe2Se4 crystal (PBE, Alexandria via LeMat-Bulk). Values from VASP.

Calculated values
- Energy relative to the elements, uncorrected: -0.2883 eV per atom
- M_tot: 0.0 μB per cell

Structure (Quantum ESPRESSO input):
```
&SYSTEM
  ibrav = 0, nat = 8, ntyp = 4
/
ATOMIC_SPECIES
Rb 85.47 Rb.upf
Hg 200.59 Hg.upf
Te 127.60 Te.upf
Se 78.96 Se.upf
ATOMIC_POSITIONS crystal
Rb 0.000 0.000 0.000
Hg 0.500 0.500 0.000
Te 0.249 0.749 0.500
Te 0.751 0.251 0.500
Se 0.125 0.124 0.575
Se 0.451 0.876 0.001
Se 0.549 0.550 0.425
Se 0.875 0.450 0.999
CELL_PARAMETERS angstrom
-3.733 3.739 4.742
3.733 -3.739 4.742
3.733 3.739 -4.742
```


Record 9
# Rb2Hg2TeSe2

A relaxed Rb2Hg2TeSe2 crystal (PBE, Alexandria via LeMat-Bulk). Values from VASP.

Calculated values
- Energy relative to the elements, uncorrected: -0.5693 eV per atom
- M_tot: 0.0 μB per cell

Structure (Quantum ESPRESSO input):
```
&SYSTEM
  ibrav = 0, nat = 7, ntyp = 4
/
ATOMIC_SPECIES
Rb 85.47 Rb.upf
Hg 200.59 Hg.upf
Te 127.60 Te.upf
Se 78.96 Se.upf
ATOMIC_POSITIONS crystal
Rb 0.001 0.001 0.284
Rb 0.999 0.999 0.716
Hg 0.276 0.276 0.776
Hg 0.724 0.724 0.224
Te 0.500 0.500 0.000
Se 0.338 0.338 0.338
Se 0.662 0.662 0.662
CELL_PARAMETERS angstrom
8.056 -2.213 0.000
8.056 2.213 0.000
-6.407 0.000 7.920
```


Record 10
# Rb3Th3HgSe8

A relaxed Rb3Th3HgSe8 crystal (PBE, Alexandria via LeMat-Bulk). Values from VASP.

Calculated values
- Energy relative to the elements, uncorrected: -1.4052 eV per atom
- M_tot: 0.0 μB per cell

Structure (Quantum ESPRESSO input):
```
&SYSTEM
  ibrav = 0, nat = 15, ntyp = 4
/
ATOMIC_SPECIES
Rb 85.47 Rb.upf
Th 232.04 Th.upf
Hg 200.59 Hg.upf
Se 78.96 Se.upf
ATOMIC_POSITIONS crystal
Rb 0.000 0.500 0.500
Rb 0.500 0.000 0.500
Rb 0.500 0.500 0.000
Th 0.000 0.000 0.500
Th 0.000 0.500 0.000
Th 0.500 0.000 0.000
Hg 0.500 0.500 0.500
Se 0.207 0.744 0.744
Se 0.235 0.235 0.235
Se 0.256 0.256 0.793
Se 0.256 0.793 0.256
Se 0.744 0.207 0.744
Se 0.744 0.744 0.207
Se 0.765 0.765 0.765
Se 0.793 0.256 0.256
CELL_PARAMETERS angstrom
4.391 2.535 7.973
-4.391 2.535 7.973
0.000 -5.070 7.973
```


Record 11
# RbTlHg2Se4

A relaxed RbTlHg2Se4 crystal (PBE, Alexandria via LeMat-Bulk). Values from VASP.

Calculated values
- Energy relative to the elements, uncorrected: -0.4360 eV per atom
- M_tot: 0.0 μB per cell

Structure (Quantum ESPRESSO input):
```
&SYSTEM
  ibrav = 0, nat = 8, ntyp = 4
/
ATOMIC_SPECIES
Rb 85.47 Rb.upf
Tl 204.38 Tl.upf
Hg 200.59 Hg.upf
Se 78.96 Se.upf
ATOMIC_POSITIONS crystal
Rb 0.000 0.000 0.000
Tl 0.500 0.500 0.000
Hg 0.320 0.820 0.500
Hg 0.680 0.180 0.500
Se 0.145 0.106 0.597
Se 0.491 0.894 0.039
Se 0.509 0.548 0.403
Se 0.855 0.452 0.961
CELL_PARAMETERS angstrom
-3.530 4.243 4.635
3.530 -4.243 4.635
3.530 4.243 -4.635
```


Record 12
# RbTlHgSe

A relaxed RbTlHgSe crystal (PBE, Alexandria via LeMat-Bulk). Values from VASP.

Calculated values
- Energy relative to the elements, uncorrected: -0.4903 eV per atom
- M_tot: 0.0 μB per cell

Structure (Quantum ESPRESSO input):
```
&SYSTEM
  ibrav = 0, nat = 4, ntyp = 4
/
ATOMIC_SPECIES
Rb 85.47 Rb.upf
Tl 204.38 Tl.upf
Hg 200.59 Hg.upf
Se 78.96 Se.upf
ATOMIC_POSITIONS crystal
Rb 0.000 0.000 0.000
Tl 0.451 0.451 0.353
Hg 0.563 0.563 0.690
Se 0.734 0.734 0.200
CELL_PARAMETERS angstrom
3.976 -2.296 0.000
3.976 2.296 0.000
-2.661 0.000 9.750
```